1.
The following is a DFT calculation (PBE) of a relaxed MnTlTe2 crystal.

## Properties
Total DFT energy (no corrections) in eV per atom: -4.63
V in Å³ per cell: 125.0

Cell lengths 4.032, 4.032, 8.877 Å; angles 90.00, 90.00, 120.00 degrees
Sites, in units of the cell vectors:
Mn (0.000, 0.000, 0.000)
Tl (0.333, 0.667, 0.449)
Te (0.333, 0.667, 0.834)
Te (0.667, 0.333, 0.177)

***

2.
The following is a DFT calculation (PBE) of a relaxed RhWCl2 crystal.

## Properties
Total DFT energy (no corrections) in eV per atom: -5.48
V in Å³ per cell: 75.1
Distance to the lowest polymorph of the same formula in meV/atom: 707.0

Cell lengths 6.298, 6.298, 6.298 Å; angles 153.36, 137.64, 50.74 degrees
Sites, in units of the cell vectors:
Rh (0.000, 0.000, 0.000)
W (0.180, 0.680, 0.500)
Cl (0.369, 0.369, 0.000)
Cl (0.678, 0.178, 0.500)

***

Q: Which of these has the highest V?
A: MnTlTe2

***

What did the second record say?
The following is a DFT calculation (PBE) of a relaxed RhWCl2 crystal.

## Properties
Total DFT energy (no corrections) in eV per atom: -5.48
V in Å³ per cell: 75.1
Distance to the lowest polymorph of the same formula in meV/atom: 707.0

Cell lengths 6.298, 6.298, 6.298 Å; angles 153.36, 137.64, 50.74 degrees
Sites, in units of the cell vectors:
Rh (0.000, 0.000, 0.000)
W (0.180, 0.680, 0.500)
Cl (0.369, 0.369, 0.000)
Cl (0.678, 0.178, 0.500)

***

Q: Which of these has the lowest total DFT energy (no corrections)?
A: RhWCl2